--- P ---
Crystalline Pm8Er3Tm2 at its relaxed geometry. Source: Alexandria via LeMat-Bulk, functional PBE.

The calculation puts the total magnetization at 0.00 μB per formula unit. The value obtained for the density of states at the Fermi level is 36.15 states/eV per cell.

The space group is C2/m (No. 12) and the conventional cell measures 20.161, 7.710 and 5.693 Å, with angles of 90.00, 90.01 and 90.00 degrees. The inequivalent atoms are Pm at (0.106, 0.205, 0.000), Pm at (0.131, 0.500, 0.500), Pm at (0.173, 0.000, 0.500), Er at (0.000, 0.214, 0.500), Er at (0.000, 0.500, 0.000) and Tm at (0.240, 0.500, 0.999).



--- Q ---
Crystalline Pm8Er3Tm2 at its relaxed geometry. Source: Alexandria via LeMat-Bulk, functional PBE.

The calculation puts the total magnetization at 0.00 μB per formula unit. The value obtained for the density of states at the Fermi level is 39.85 states/eV per cell.

The space group is Immm (No. 71) and the conventional cell measures 3.662, 11.538 and 20.378 Å, with angles of 90.00, 90.00 and 90.00 degrees. The inequivalent atoms are Pm at (0.000, 0.000, 0.076), Pm at (0.000, 0.000, 0.369), Pm at (0.000, 0.248, 0.170), Er at (0.000, 0.261, 0.500), Er at (0.000, 0.500, 0.000) and Tm at (0.000, 0.500, 0.277).



Which structure loses on stability? P does.



--- P ---
Crystalline Pm3Er7Tm2 at its relaxed geometry. Source: Alexandria via LeMat-Bulk, functional PBE.

The calculation puts the total magnetization at 0.00 μB per formula unit. The value obtained for the density of states at the Fermi level is 19.56 states/eV per cell.

The space group is P2/m (No. 10) and the conventional cell measures 3.598, 5.534 and 20.361 Å, with angles of 90.00, 95.16 and 90.00 degrees. The inequivalent atoms are Pm at (0.000, 0.000, 0.000), Pm at (0.327, 0.500, 0.661), Er at (0.088, 0.500, 0.171), Er at (0.215, 0.000, 0.430), Er at (0.430, 0.000, 0.865), Er at (0.500, 0.500, 0.000) and Tm at (0.141, 0.000, 0.273).



--- Q ---
Crystalline Pm3Er7Tm2 at its relaxed geometry. Source: Alexandria via LeMat-Bulk, functional PBE.

The calculation puts the total magnetization at 0.00 μB per formula unit. The value obtained for the density of states at the Fermi level is 14.86 states/eV per cell.

The space group is P2/m (No. 10) and the conventional cell measures 5.778, 3.538 and 18.643 Å, with angles of 90.00, 93.03 and 90.00 degrees. The inequivalent atoms are Pm at (0.000, 0.000, 0.000), Pm at (0.279, 0.500, 0.633), Er at (0.190, 0.500, 0.144), Er at (0.243, 0.000, 0.462), Er at (0.307, 0.000, 0.824), Er at (0.500, 0.500, 0.000) and Tm at (0.210, 0.000, 0.292).



Which structure loses on stability? P does.



--- P ---
Crystalline Pm2ErTm8 at its relaxed geometry. Source: Alexandria via LeMat-Bulk, functional PBE.

The calculation puts the total magnetization at 0.00 μB per formula unit. The value obtained for the density of states at the Fermi level is 32.29 states/eV per cell.

The space group is C2/m (No. 12) and the conventional cell measures 17.768, 5.457 and 7.981 Å, with angles of 90.00, 116.66 and 90.00 degrees. The inequivalent atoms are Pm at (0.201, 0.000, 0.201), Er at (0.000, 0.500, 0.500), Tm at (0.000, 0.000, 0.210), Tm at (0.137, 0.500, 0.928), Tm at (0.138, 0.500, 0.348) and Tm at (0.160, 0.000, 0.660).



--- Q ---
Crystalline Pm2ErTm8 at its relaxed geometry. Source: Alexandria via LeMat-Bulk, functional PBE.

The calculation puts the total magnetization at 0.00 μB per formula unit. The value obtained for the density of states at the Fermi level is 29.48 states/eV per cell.

The space group is C2/m (No. 12) and the conventional cell measures 17.955, 4.972 and 7.869 Å, with angles of 90.00, 105.20 and 90.00 degrees. The inequivalent atoms are Pm at (0.227, 0.000, 0.137), Er at (0.000, 0.500, 0.500), Tm at (0.044, 0.000, 0.228), Tm at (0.090, 0.500, 0.953), Tm at (0.135, 0.000, 0.678) and Tm at (0.181, 0.500, 0.408).



Which structure loses on stability? P does.



--- P ---
Crystalline Pm12Er5Tm2 at its relaxed geometry. Source: Alexandria via LeMat-Bulk, functional PBE.

The calculation puts the total magnetization at 0.00 μB per formula unit. The value obtained for the density of states at the Fermi level is 53.12 states/eV per cell.

The space group is C2/m (No. 12) and the conventional cell measures 15.858, 9.237 and 8.675 Å, with angles of 90.00, 91.63 and 90.00 degrees. The inequivalent atoms are Pm at (0.061, 0.000, 0.341), Pm at (0.086, 0.500, 0.884), Pm at (0.127, 0.196, 0.675), Pm at (0.153, 0.318, 0.237), Er at (0.000, 0.500, 0.500), Er at (0.200, 0.000, 0.023), Er at (0.231, 0.500, 0.568) and Tm at (0.000, 0.172, 0.000).



--- Q ---
Crystalline Pm12Er5Tm2 at its relaxed geometry. Source: Alexandria via LeMat-Bulk, functional PBE.

The calculation puts the total magnetization at 0.00 μB per formula unit. The value obtained for the density of states at the Fermi level is 53.01 states/eV per cell.

The space group is C2/m (No. 12) and the conventional cell measures 22.203, 7.072 and 8.703 Å, with angles of 90.00, 110.18 and 90.00 degrees. The inequivalent atoms are Pm at (0.048, 0.000, 0.195), Pm at (0.106, 0.244, 0.885), Pm at (0.143, 0.500, 0.562), Pm at (0.201, 0.247, 0.294), Er at (0.000, 0.500, 0.000), Er at (0.149, 0.000, 0.596), Er at (0.249, 0.500, 0.993) and Tm at (0.000, 0.242, 0.500).



Which structure loses on stability? Q does.



--- P ---
Crystalline Pm6Er2Tm at its relaxed geometry. Source: Alexandria via LeMat-Bulk, functional PBE.

The calculation puts the total magnetization at 0.00 μB per formula unit. The value obtained for the density of states at the Fermi level is 23.92 states/eV per cell.

The space group is Cmmm (No. 65) and the conventional cell measures 9.349, 17.556 and 3.646 Å, with angles of 90.00, 90.00 and 90.00 degrees. The inequivalent atoms are Pm at (0.176, 0.165, 0.000), Pm at (0.185, 0.000, 0.500), Er at (0.000, 0.323, 0.500) and Tm at (0.000, 0.500, 0.000).



--- Q ---
Crystalline Pm6Er2Tm at its relaxed geometry. Source: Alexandria via LeMat-Bulk, functional PBE.

The calculation puts the total magnetization at 0.00 μB per formula unit. The value obtained for the density of states at the Fermi level is 49.61 states/eV per cell.

The space group is C2/c (No. 15) and the conventional cell measures 16.296, 11.765 and 6.212 Å, with angles of 90.00, 96.04 and 90.00 degrees. The inequivalent atoms are Pm at (0.048, 0.141, 0.013), Pm at (0.119, 0.359, 0.320), Pm at (0.214, 0.359, 0.847), Er at (0.167, 0.099, 0.583) and Tm at (0.000, 0.401, 0.750).



Which structure loses on stability? P does.